The following is a PBE-GGA calculation of a geometry-optimized Na2SrCd10 structure, from the Alexandria database.

The space group is Fmmm (No. 69) and the conventional cell measures 6.125, 14.076 and 15.073 Å, with angles of 90.00, 90.00 and 90.00 degrees. The inequivalent atoms are Na at (0.250, 0.000, 0.250), Sr at (0.000, 0.000, 0.000), Cd at (0.000, 0.105, 0.395), Cd at (0.000, 0.183, 0.173) and Cd at (0.250, 0.250, 0.000).

As for the formation energy: -9 kJ/mol of atoms. The calculation puts the spin magnetization at 0.00 μB/cell. The value obtained for the calculated total energy is -1.13 eV per atom. For the density of states at the Fermi level, the calculation gives 23.93 states/eV/cell.